1.
# VCrCoPt

A relaxed VCrCoPt crystal (GGA-PBE, Alexandria via LeMat-Bulk).

POSCAR file:
```
VCrCoPt
1.0
-2.692 1.491 1.986
-0.742 -3.307 1.477
2.442 0.697 2.787
V Co Pt Cr
1 1 1 1
Cartesian
0.850 -1.305 2.132 V
-1.717 -0.908 1.731 Co
0.000 0.000 0.000 Pt
-0.125 1.094 2.386 Cr
```

calculated formation energy = -247 meV/atom

2.
# PuCrCo

A relaxed PuCrCo crystal (GGA-PBE, Alexandria via LeMat-Bulk).

POSCAR file:
```
PuCrCo
1.0
4.098 0.000 0.000
0.000 4.098 0.000
-2.049 -2.049 5.723
Co Pu Cr
2 2 2
Cartesian
2.049 2.049 4.274 Co
0.000 0.000 1.448 Co
0.000 0.000 3.847 Pu
2.049 2.049 1.876 Pu
2.049 0.000 0.000 Cr
0.000 2.049 0.000 Cr
```

calculated formation energy = 216 meV/atom

3.
# Pu2Cr2Co15

A relaxed Pu2Cr2Co15 crystal (GGA-PBE, Alexandria via LeMat-Bulk).

POSCAR file:
```
Pu2Cr2Co15
1.0
6.198 -0.020 0.788
0.692 6.160 0.788
-0.023 -0.020 6.248
Co Pu Cr
15 2 2
Cartesian
0.479 4.319 2.415 Co
0.190 1.821 4.622 Co
2.363 2.106 5.843 Co
2.332 4.319 0.788 Co
0.346 3.080 0.394 Co
3.099 -0.010 0.394 Co
4.345 -0.020 2.415 Co
1.380 4.013 4.723 Co
-0.011 -0.010 3.124 Co
1.831 -0.020 4.622 Co
2.722 5.209 3.101 Co
4.145 0.910 4.723 Co
5.487 2.106 3.101 Co
4.504 4.013 1.982 Co
4.558 1.821 0.788 Co
4.504 4.014 5.132 Pu
2.363 2.106 2.692 Pu
0.586 0.522 0.668 Cr
6.281 5.597 7.157 Cr
```

calculated formation energy = -35 meV/atom

4.
# PuUCrCo

A relaxed PuUCrCo crystal (GGA-PBE, Alexandria via LeMat-Bulk).

POSCAR file:
```
PuUCrCo
1.0
4.461 0.000 0.000
2.231 3.863 0.000
2.231 1.288 3.643
U Co Cr Pu
1 1 1 1
Cartesian
2.231 1.288 0.911 U
6.692 3.863 2.732 Co
4.461 2.576 1.821 Cr
0.000 0.000 0.000 Pu
```

calculated formation energy = 10 meV/atom

5.
# RbCrCo2

A relaxed RbCrCo2 crystal (GGA-PBE, Alexandria via LeMat-Bulk).

POSCAR file:
```
RbCrCo2
1.0
-3.353 6.060 0.550
-4.617 -2.124 -4.737
-5.981 0.632 0.452
Rb Cr Co
2 2 4
Cartesian
-6.659 4.330 -0.546 Rb
0.000 0.000 0.000 Rb
-3.985 1.968 -2.093 Cr
-7.291 0.238 -3.189 Cr
-3.789 2.995 -0.198 Co
-10.938 4.157 -2.790 Co
-5.178 0.272 -2.717 Co
-7.996 1.710 -1.766 Co
```

calculated formation energy = 1427 meV/atom

6.
# RbCrCo2

A relaxed RbCrCo2 crystal (GGA-PBE, Alexandria via LeMat-Bulk).

POSCAR file:
```
RbCrCo2
1.0
-0.319 1.529 4.219
-3.284 -1.490 2.690
0.978 -2.711 3.455
Cr Co Rb
1 2 1
Cartesian
0.000 0.000 0.000 Cr
-0.656 -0.668 2.591 Co
-1.969 -2.004 7.772 Co
-1.313 -1.336 5.182 Rb
```

calculated formation energy = 1831 meV/atom

7.
# Rb2CrCoRh

A relaxed Rb2CrCoRh crystal (GGA-PBE, Alexandria via LeMat-Bulk).

POSCAR file:
```
Rb2CrCoRh
1.0
6.757 0.000 0.000
0.000 4.499 0.000
0.000 0.000 6.757
Rb Cr Co Rh
2 1 1 1
Cartesian
0.000 0.000 3.378 Rb
3.378 0.000 0.000 Rb
0.000 0.000 0.000 Cr
3.378 2.250 3.378 Co
0.000 2.250 0.000 Rh
```

calculated formation energy = 1393 meV/atom

8.
# Rb2CrCoS

A relaxed Rb2CrCoS crystal (GGA-PBE, Alexandria via LeMat-Bulk).

POSCAR file:
```
Rb2CrCoS
1.0
-0.501 -4.947 4.462
0.047 -2.709 -2.998
6.662 -0.320 0.393
Cr Co Rb S
1 1 2 1
Cartesian
3.104 -3.988 0.929 Cr
0.000 0.000 0.000 Co
-0.251 -2.474 2.231 Rb
3.331 -0.160 0.197 Rb
0.023 -1.355 -1.499 S
```

energy relative to the elements, uncorrected = 0.43 eV per atom

9.
# RbCrCoSe3

A relaxed RbCrCoSe3 crystal (GGA-PBE, Alexandria via LeMat-Bulk).

POSCAR file:
```
RbCrCoSe3
1.0
-1.188 2.214 2.778
2.265 -6.270 5.967
6.896 6.484 -2.218
Se Cr Rb Co
6 2 2 2
Cartesian
6.834 2.870 1.899 Se
4.601 -1.511 4.436 Se
3.372 3.940 2.091 Se
5.928 5.288 -0.416 Se
2.045 -2.860 6.943 Se
1.139 -0.442 4.628 Se
2.289 -2.719 4.409 Cr
5.684 5.147 2.118 Cr
1.928 0.748 1.491 Rb
6.045 1.680 5.036 Rb
4.037 3.931 -0.144 Co
3.936 -1.503 6.670 Co
```

energy relative to the elements, uncorrected = -0.60 eV per atom

10.
# Rb2CrCoSe4

A relaxed Rb2CrCoSe4 crystal (GGA-PBE, Alexandria via LeMat-Bulk).

POSCAR file:
```
Rb2CrCoSe4
1.0
-4.108 -3.847 0.006
2.105 -6.369 -3.349
2.046 -6.284 10.872
Se Co Rb Cr
8 2 4 2
Cartesian
0.744 -6.932 -1.563 Se
0.874 -5.005 3.246 Se
-0.791 -11.459 4.282 Se
-1.879 -4.207 0.520 Se
-0.352 -7.888 5.549 Se
-0.171 -14.254 7.011 Se
0.356 -8.649 1.979 Se
1.392 -7.608 9.088 Se
1.049 -7.288 3.763 Co
-2.054 -1.924 0.003 Co
0.456 -10.766 7.639 Rb
-2.647 -5.401 3.879 Rb
0.585 -4.730 6.998 Rb
-2.466 -7.658 -0.108 Rb
-1.005 -9.212 3.765 Cr
0.000 0.000 0.000 Cr
```

energy relative to the elements, uncorrected = -0.75 eV per atom

11.
# RbCrCoSi2

A relaxed RbCrCoSi2 crystal (GGA-PBE, Alexandria via LeMat-Bulk).

POSCAR file:
```
RbCrCoSi2
1.0
4.434 0.000 0.000
0.000 4.840 0.000
0.000 0.000 4.434
Cr Si Rb Co
1 2 1 1
Cartesian
0.000 2.420 0.000 Cr
0.000 0.000 2.217 Si
2.217 0.000 0.000 Si
2.217 2.420 2.217 Rb
0.000 0.000 0.000 Co
```

energy relative to the elements, uncorrected = 0.89 eV per atom

12.
# RbCr2CoTc

A relaxed RbCr2CoTc crystal (GGA-PBE, Alexandria via LeMat-Bulk).

POSCAR file:
```
RbCr2CoTc
1.0
-1.234 3.333 -2.422
-4.781 -1.052 0.988
0.149 2.562 3.451
Co Tc Cr Rb
1 1 2 1
Cartesian
0.000 0.000 0.000 Co
-2.933 2.422 1.008 Tc
0.074 1.281 1.725 Cr
-0.617 1.667 -1.211 Cr
-2.391 -0.526 0.494 Rb
```

calculated formation energy = 2357 meV/atom